1.
Compound: La3Er2
Source: Alexandria
Functional: PBE-GGA
Structure: relaxed

**Crystal system**: monoclinic
**Formation energy**: 0.2 eV per formula unit
**M_tot**: 0.006 μB/cell

Cell: 6.922 6.922 9.483 Å, 108.20 108.20 55.04°
Atoms (fractional coordinates):
La 0.028 0.363 0.650
La 0.173 0.827 0.750
La 0.363 0.028 0.150
La 0.637 0.972 0.850
La 0.827 0.173 0.250
La 0.972 0.637 0.350
Er 0.235 0.562 0.051
Er 0.438 0.765 0.449
Er 0.562 0.235 0.551
Er 0.765 0.438 0.949

2.
Compound: Cs5Pd2S5
Source: Alexandria
Functional: PBE-GGA
Structure: relaxed

**ΔE_f (raw)**: -672 meV/atom
**Crystal system**: monoclinic
**M_tot**: 0.000 μB/cell

Cell: 7.982 7.982 11.695 Å, 94.13 94.13 32.73°
Atoms (fractional coordinates):
Cs 0.000 0.000 0.000
Cs 0.145 0.145 0.581
Cs 0.291 0.291 0.861
Cs 0.709 0.709 0.139
Cs 0.855 0.855 0.419
Pd 0.486 0.486 0.705
Pd 0.514 0.514 0.295
S 0.068 0.068 0.286
S 0.383 0.383 0.170
S 0.500 0.500 0.500
S 0.617 0.617 0.830
S 0.932 0.932 0.714

3.
Compound: Hf3Tc2Hg
Source: Alexandria
Functional: PBE-GGA
Structure: relaxed

**Crystal system**: tetragonal
**Formation energy**: -2.5 eV per formula unit
**M_tot**: 0.000 μB/cell

Cell: 3.306 3.306 10.358 Å, 90.00 90.00 90.00°
Atoms (fractional coordinates):
Hf 0.000 0.000 0.000
Hf 0.000 0.000 0.304
Hf 0.000 0.000 0.696
Tc 0.500 0.500 0.162
Tc 0.500 0.500 0.838
Hg 0.500 0.500 0.500

4.
Compound: La2Pr2TmAg5
Source: Alexandria
Functional: PBE-GGA
Structure: relaxed

**Crystal system**: tetragonal
**Formation energy**: -1.2 eV per formula unit
**M_tot**: 0.000 μB/cell

Cell: 11.199 11.199 4.280 Å, 90.00 90.00 90.00°
Atoms (fractional coordinates):
La 0.172 0.328 0.000
La 0.328 0.828 0.000
La 0.672 0.172 0.000
La 0.828 0.672 0.000
Pr 0.132 0.632 0.000
Pr 0.368 0.132 0.000
Pr 0.632 0.868 0.000
Pr 0.868 0.368 0.000
Tm 0.000 0.000 0.000
Tm 0.500 0.500 0.000
Ag 0.000 0.500 0.500
Ag 0.063 0.821 0.500
Ag 0.179 0.063 0.500
Ag 0.321 0.563 0.500
Ag 0.437 0.321 0.500
Ag 0.500 0.000 0.500
Ag 0.563 0.679 0.500
Ag 0.679 0.437 0.500
Ag 0.821 0.937 0.500
Ag 0.937 0.179 0.500

5.
Compound: KHoAg2F6
Source: Alexandria
Functional: PBE-GGA
Structure: relaxed

**ΔE_f (raw)**: -2595 meV/atom
**Crystal system**: triclinic
**M_tot**: 0.000 μB/cell

Cell: 6.247 6.251 6.486 Å, 90.01 118.77 119.93°
Atoms (fractional coordinates):
K 0.000 0.000 0.000
Ho 0.986 0.493 0.479
Ag 0.556 0.278 0.834
Ag 0.562 0.781 0.344
F 0.084 0.414 0.216
F 0.097 0.245 0.676
F 0.432 0.851 0.675
F 0.547 0.133 0.218
F 0.803 0.672 0.218
F 0.826 0.580 0.677

6.
Compound: YAl2Ni3
Source: Alexandria
Functional: PBE-GGA
Structure: relaxed

**Crystal system**: orthorhombic
**Formation energy**: -3.1 eV per formula unit
**M_tot**: 0.000 μB/cell

Cell: 6.019 6.019 5.209 Å, 90.00 90.00 78.52°
Atoms (fractional coordinates):
Y 0.180 0.820 0.750
Y 0.820 0.180 0.250
Al 0.282 0.282 0.000
Al 0.282 0.282 0.500
Al 0.718 0.718 0.000
Al 0.718 0.718 0.500
Ni 0.057 0.628 0.250
Ni 0.372 0.943 0.250
Ni 0.458 0.542 0.250
Ni 0.542 0.458 0.750
Ni 0.628 0.057 0.750
Ni 0.943 0.372 0.750

7.
Compound: BeP2Os
Source: Alexandria
Functional: PBE-GGA
Structure: relaxed

**Crystal system**: cubic
**Formation energy**: 1.9 eV per formula unit
**M_tot**: 0.000 μB/cell

Cell: 4.105 4.105 4.105 Å, 60.00 60.00 60.00°
Atoms (fractional coordinates):
Be 0.000 0.000 0.000
P 0.250 0.250 0.250
P 0.500 0.500 0.500
Os 0.750 0.750 0.750

8.
Compound: Sn3HgP
Source: Alexandria
Functional: PBE-GGA
Structure: relaxed

**Crystal system**: cubic
**Formation energy**: 4.5 eV per formula unit
**E above lowest polymorph**: 0.490 eV/atom
**M_tot**: 0.000 μB/cell

Cell: 5.473 5.473 5.473 Å, 90.00 90.00 90.00°
Atoms (fractional coordinates):
Sn 0.000 0.000 0.500
Sn 0.000 0.500 0.000
Sn 0.500 0.000 0.000
Hg 0.000 0.000 0.000
P 0.500 0.500 0.500